Compound: Na3Zn2In4
Source: Alexandria via LeMat-Bulk
Functional: PBE
Structure: relaxed

Unit cell a=4.9194 b=6.0735 c=8.4514 alpha=77.20 beta=73.08 gamma=66.11
Closest atoms and distances in Å follow each position.
Fractional coordinates of all 9 atoms:
Na  0.3300  0.6809  0.6592  4 Zn 3.27-3.38, 8 In 3.28-3.49, 2 Na 3.45
Na  0.0000  0.0000  0.0000  8 In 3.25-3.47, 4 Zn 3.29, 2 Na 3.45
Na  0.6700  0.3191  0.3408  4 Zn 3.27-3.38, 8 In 3.28-3.49, 2 Na 3.45
Zn  0.3986  0.9312  0.2717  3 In 2.80-2.81
Zn  0.6014  0.0688  0.7283  3 In 2.80-2.81
In  0.2841  0.3707  0.0611  1 Zn 2.81, 2 In 2.96
In  0.7159  0.6293  0.9389  1 Zn 2.81, 2 In 2.96
In  0.0506  0.2758  0.6230  2 Zn 2.80, 1 In 3.00
In  0.9494  0.7242  0.3770  2 Zn 2.80, 1 In 3.00

Computed properties:
Excess energy over the best structure of this formula in the dataset   0 meV/atom
ΔE_f   -1.71 kcal/mol of atoms